{
  "formula": "RbVSiO4",
  "functional": "GGA+U",
  "state": "optimized geometry",
  "lattice": [[5.209, 0.000, -0.164], [0.000, 5.542, 0.000], [-2.257, 0.000, 7.284]],
  "species": ["Rb", "Rb", "O", "O", "O", "O", "O", "O", "O", "O", "V", "V", "Si", "Si"],
  "fractional_positions": [[0.693, 0.750, 0.934], [0.307, 0.250, 0.066], [0.968, 0.025, 0.661], [0.488, 0.750, 0.559], [0.032, 0.975, 0.339], [0.432, 0.750, 0.216], [0.968, 0.475, 0.661], [0.568, 0.250, 0.784], [0.032, 0.525, 0.339], [0.512, 0.250, 0.441], [0.204, 0.250, 0.539], [0.796, 0.750, 0.461], [0.749, 0.250, 0.644], [0.251, 0.750, 0.356]],
  "sg": "P2_1/m, No. 11",
  "n_ef_per_ev_cell": 0.0,
  "magmom_total_mub_per_cell": 4.00,
  "energy_ev_per_cell": -98.78
}